First-principles (PBE) data for LiUTcRh after structural relaxation, as listed in the Alexandria database.

ρ ... 11450 kg/m3
Final energy ... -31.5 eV/cell
M_tot ... 1.023 Bohr magnetons per cell
DFT formation energy ... -0.60 eV/f.u.

a = 4.505 Å, b = 4.505 Å, c = 4.505 Å
α = 60.00°, β = 60.00°, γ = 60.00°
Positions (direct):
Rh 0.750 0.750 0.750
U 0.000 0.000 0.000
Tc 0.250 0.250 0.250
Li 0.500 0.500 0.500



First-principles (PBE) data for MgUSiO6 after structural relaxation, as listed in the Alexandria database.

ρ ... 6262 kg/m3
Final energy ... -145.3 eV/cell
M_tot ... 0.000 Bohr magnetons per cell
Uncorrected formation energy ... -2.73 eV per atom

a = 5.145 Å, b = 5.145 Å, c = 8.939 Å
α = 90.00°, β = 90.00°, γ = 120.00°
Positions (direct):
Mg 0.000 0.000 0.000
Mg 0.000 0.000 0.500
U 0.333 0.667 0.250
U 0.667 0.333 0.750
Si 0.667 0.333 0.250
Si 0.333 0.667 0.750
O 0.669 0.628 0.137
O 0.959 0.331 0.137
O 0.331 0.959 0.637
O 0.041 0.669 0.863
O 0.372 0.331 0.363
O 0.959 0.628 0.363
O 0.628 0.959 0.863
O 0.669 0.041 0.363
O 0.041 0.372 0.637
O 0.372 0.041 0.137
O 0.628 0.669 0.637
O 0.331 0.372 0.863



First-principles (PBE) data for Co3Au after structural relaxation, as listed in the Alexandria database.

ρ ... 12049 kg/m3
Final energy ... -24.0 eV/cell
M_tot ... 5.293 Bohr magnetons per cell
DFT formation energy ... 0.60 eV/f.u.

a = 7.681 Å, b = 3.523 Å, c = 9.760 Å
α = 90.00°, β = 168.75°, γ = 90.00°
Positions (direct):
Au 0.000 0.000 0.000
Co 0.367 0.500 0.079
Co 0.500 0.000 0.000
Co 0.633 0.500 0.921